*a*
First-principles (PBE+U) data for crystalline LiNiN2F at its relaxed geometry, as listed in Alexandria.

POSCAR file:
```
LiNiN2F
1.0
-1.9583 0.4475 -3.0285
-0.7904 -3.5472 -0.0131
-3.0208 0.6656 2.0517
N Li Ni F
2 1 1 1
Cartesian
-0.3952 -1.7736 -0.0065 N
-0.9792 0.2238 -1.5143 N
0.0000 0.0000 0.0000 Li
-2.8848 -1.2171 -0.4950 Ni
-1.5104 0.3328 1.0258 F
```

Calculated values
* crystal system: tetragonal
* magnetization: 3.58 Bohr magnetons per cell
* symmetry: P4/mmm

*b*
First-principles (PBE+U) data for crystalline LiNiN2F at its relaxed geometry, as listed in Alexandria.

POSCAR file:
```
LiNiN2F
1.0
3.4420 0.0000 0.0000
0.0000 3.4420 0.0000
0.0000 0.0000 5.4594
F N Ni Li
1 2 1 1
Cartesian
0.0000 0.0000 2.7297 F
1.7210 0.0000 0.0000 N
0.0000 1.7210 0.0000 N
0.0000 0.0000 0.0000 Ni
1.7210 1.7210 2.7297 Li
```

Calculated values
* crystal system: tetragonal
* magnetization: 0.59 Bohr magnetons per cell
* symmetry: P4/mmm

We find *b* to be the most stable, with the next structure 704 meV/atom higher.

*a*
First-principles (PBE+U) data for crystalline LiNiNF2 at its relaxed geometry, as listed in Alexandria.

POSCAR file:
```
LiNiNF2
1.0
-3.4380 0.7969 -0.3747
-0.1433 -1.9965 -2.9307
-1.0020 -3.2566 2.2675
F Ni Li N
2 1 1 1
Cartesian
-0.0717 -0.9982 -1.4653 F
-1.7190 0.3984 -0.1874 F
-2.2916 -2.2281 -0.5190 Ni
0.0000 0.0000 0.0000 Li
-0.5010 -1.6283 1.1337 N
```

Calculated values
* crystal system: tetragonal
* magnetization: 4.00 Bohr magnetons per cell
* symmetry: P4/mmm

*b*
First-principles (PBE+U) data for crystalline LiNiNF2 at its relaxed geometry, as listed in Alexandria.

POSCAR file:
```
LiNiNF2
1.0
-3.1123 1.5920 -2.0435
-2.2431 -3.2540 0.8812
-1.2161 1.6982 3.1752
Li F Ni N
1 2 1 1
Cartesian
-3.2858 0.0181 1.0065 Li
-1.1215 -1.6270 0.4406 F
-1.5561 0.7960 -1.0217 F
0.0000 0.0000 0.0000 Ni
-0.6081 0.8491 1.5876 N
```

Calculated values
* crystal system: tetragonal
* magnetization: 3.63 Bohr magnetons per cell
* symmetry: P4/mmm

We find *b* to be the most stable, with the next structure 487 meV/atom higher.